Record 1
! PBE AsI2Cl, optimized geometry; values from VASP
! Magnetic moment (Bohr magnetons per cell): 0.00
! Energy relative to the elements, uncorrected (eV per atom): -0.340
! VASP energy (eV per cell): -10.957
&SYSTEM
  ibrav = 0, nat = 4, ntyp = 3
/
ATOMIC_SPECIES
As 74.92 As.upf
I 126.90 I.upf
Cl 35.45 Cl.upf
CELL_PARAMETERS angstrom
-1.495 0.830 4.021
-2.218 -5.605 -0.574
5.597 -2.535 4.968
ATOMIC_POSITIONS crystal
As 0.081 0.940 0.000
I 0.608 0.998 0.731
I 0.338 0.989 0.269
Cl 0.973 0.573 0.001

---

Record 2
! PBE AsI3Cl, optimized geometry; values from VASP
! Magnetic moment (Bohr magnetons per cell): 2.00
! Energy relative to the elements, uncorrected (eV per atom): 0.816
! VASP energy (eV per cell): -7.068
&SYSTEM
  ibrav = 0, nat = 5, ntyp = 3
/
ATOMIC_SPECIES
I 126.90 I.upf
As 74.92 As.upf
Cl 35.45 Cl.upf
CELL_PARAMETERS angstrom
-0.864 2.481 5.126
-4.894 -2.974 0.615
2.912 -4.263 2.554
ATOMIC_POSITIONS crystal
I 0.000 0.500 0.000
I 0.500 0.000 0.000
As 0.500 0.500 0.500
I 0.000 0.000 0.500
Cl 0.000 0.000 0.000

---

Asked for distance to the lowest polymorph of the same formula across the records above, the calculation gives 0.001; 0.602 eV per atom in order.